! La3Dy3Y5, relaxed, DFT GGA-PBE; values from VASP
! Formation enthalpy at 0 K: 783.0 meV/atom
! DFT total energy: -4.754 eV per atom
! Energy relative to the lowest polymorph listed for this composition: 38 meV/atom
! Fermi-level density of states: 14.298 states/eV/cell
&SYSTEM
  ibrav = 0, nat = 11, ntyp = 3
/
ATOMIC_SPECIES
Y 88.91 Y.upf
Dy 162.50 Dy.upf
La 138.91 La.upf
CELL_PARAMETERS angstrom
-2.9221 -2.9951 3.1927
-2.7163 -5.4432 -7.5924
7.9593 -2.3558 5.0747
ATOMIC_POSITIONS angstrom
Y -3.4555 -5.4943 -3.9785
Dy 4.1357 -1.2241 2.6369
Dy -1.4114 -2.8284 -3.9451
La 1.8909 -6.4836 -0.0133
Y -0.0678 -3.5701 0.9273
Dy 2.5187 -3.7465 -1.2095
Y 2.9397 -4.8825 2.4487
La -2.4407 -3.4608 -1.1421
La 1.4097 -2.3472 3.4267
Y 4.3831 -3.2273 5.3225
Y -0.6188 -5.9116 -1.7737

---

! La5DyY, relaxed, DFT GGA-PBE; values from VASP
! Formation enthalpy at 0 K: 163.3 meV/atom
! DFT total energy: -4.937 eV per atom
! Energy relative to the lowest polymorph listed for this composition: 18 meV/atom
! Fermi-level density of states: 22.503 states/eV/cell
&SYSTEM
  ibrav = 0, nat = 14, ntyp = 3
/
ATOMIC_SPECIES
La 138.91 La.upf
Dy 162.50 Dy.upf
Y 88.91 Y.upf
CELL_PARAMETERS angstrom
-3.2814 5.2666 -0.9722
-8.1652 -2.1210 -4.2189
-4.8535 0.5406 7.7947
ATOMIC_POSITIONS angstrom
La -6.5816 2.0484 2.4479
Dy -2.9808 2.6761 1.3901
La -11.5076 4.1752 1.4502
Y 0.0000 0.0000 0.0000
La -5.7469 2.5054 -0.9924
La -4.7926 -0.4890 1.1535
La -9.7185 1.6377 0.1558
La -10.5533 1.1807 3.5961
La -8.3504 2.5498 -3.3972
La -8.7383 4.3482 3.8345
Dy -13.3194 1.0100 1.2136
Y -2.4267 0.2703 3.8974
La -7.5619 -0.6621 -1.2308
La -7.9498 1.1363 6.0009

---

! La12DyY6, relaxed, DFT GGA-PBE; values from VASP
! Formation enthalpy at 0 K: 223.5 meV/atom
! DFT total energy: -5.172 eV per atom
! Fermi-level density of states: 35.599 states/eV/cell
&SYSTEM
  ibrav = 0, nat = 19, ntyp = 3
/
ATOMIC_SPECIES
La 138.91 La.upf
Y 88.91 Y.upf
Dy 162.50 Dy.upf
CELL_PARAMETERS angstrom
-8.4223 2.6394 3.0956
-1.3293 -7.6817 -5.1680
4.9111 -2.6380 7.5104
ATOMIC_POSITIONS angstrom
La 0.0144 -5.3035 1.2517
Y -1.7716 -3.0882 -0.9824
La -4.6583 -2.7337 0.7217
La 1.8534 -7.3290 3.5012
Y -3.0689 -4.5921 6.4204
La -1.5114 -1.7292 4.9416
Y -2.8534 -0.0509 2.3445
La -3.3291 -5.9511 0.4964
La -4.8550 -2.3769 4.1863
La -6.2899 -5.3734 -0.9855
La -0.1823 -4.9466 4.7162
Y 1.1302 -2.4060 2.5641
La 1.4493 -2.3069 6.4234
Y -1.9872 -7.6294 3.0935
La -4.1679 -0.9500 7.1507
La -6.6939 -0.3514 1.9368
Y -5.9707 -5.2743 2.8739
La -0.6726 -6.7303 -1.7128
Dy 0.0000 0.0000 0.0000

---

! LaDy2Y8, relaxed, DFT GGA-PBE; values from VASP
! Formation enthalpy at 0 K: 114.8 meV/atom
! DFT total energy: -5.871 eV per atom
! Energy relative to the lowest polymorph listed for this composition: 0 meV/atom
! Fermi-level density of states: 17.195 states/eV/cell
&SYSTEM
  ibrav = 0, nat = 11, ntyp = 3
/
ATOMIC_SPECIES
Y 88.91 Y.upf
La 138.91 La.upf
Dy 162.50 Dy.upf
CELL_PARAMETERS angstrom
5.2813 0.0000 -1.6037
-1.0034 7.4302 -3.3046
-0.0111 -0.3112 9.4616
ATOMIC_POSITIONS angstrom
Y 1.7319 0.9013 5.7034
Y 0.6963 1.1140 2.2932
La 2.6406 0.0000 -0.8018
Y 2.9500 3.1432 0.2171
Y -0.7064 5.2311 -2.3263
Y 1.3167 3.9758 4.3363
Y 3.5704 6.0049 2.2601
Y 2.5349 6.2177 -1.1501
Y 4.9731 1.8879 6.8796
Dy 0.3449 5.0693 1.1360
Dy 3.9218 2.0497 3.4174

---

! La3Dy2Y6, relaxed, DFT GGA-PBE; values from VASP
! Formation enthalpy at 0 K: 144.0 meV/atom
! DFT total energy: -5.562 eV per atom
! Fermi-level density of states: 17.788 states/eV/cell
&SYSTEM
  ibrav = 0, nat = 11, ntyp = 3
/
ATOMIC_SPECIES
Y 88.91 Y.upf
La 138.91 La.upf
Dy 162.50 Dy.upf
CELL_PARAMETERS angstrom
5.1591 0.0000 2.6118
2.5795 6.0943 1.3059
0.3891 0.0000 12.0168
ATOMIC_POSITIONS angstrom
Y 6.2721 4.2679 6.8021
La 0.0000 0.0000 0.0000
Y 3.6925 1.8264 5.4963
Dy 5.3537 1.5901 8.6201
Y 1.5699 0.0000 3.2885
Y 1.8557 1.8264 9.1322
La 5.1591 3.5238 2.6118
Y 3.9783 0.0000 11.3400
Y 4.4352 4.2679 10.4381
Dy 2.7741 4.5042 7.3143
La 2.5795 2.5705 1.3059

---

! La3Dy6Y, relaxed, DFT GGA-PBE; values from VASP
! Formation enthalpy at 0 K: 152.9 meV/atom
! DFT total energy: -4.733 eV per atom
! Energy relative to the lowest polymorph listed for this composition: 0 meV/atom
! Fermi-level density of states: 26.925 states/eV/cell
&SYSTEM
  ibrav = 0, nat = 20, ntyp = 3
/
ATOMIC_SPECIES
La 138.91 La.upf
Y 88.91 Y.upf
Dy 162.50 Dy.upf
CELL_PARAMETERS angstrom
6.4190 0.0000 0.0000
0.0000 10.8866 -1.6607
0.0000 -4.0481 10.2415
ATOMIC_POSITIONS angstrom
La 0.4747 1.7436 5.6258
Y 0.7611 -1.2453 8.0078
La 6.2409 -0.5039 2.8769
Dy 5.5688 8.1898 3.7975
Dy 0.3269 2.9482 2.2657
Dy 4.1773 0.0306 6.9909
Dy 5.5243 -3.5550 9.8485
Dy 2.3148 10.3934 -1.2676
Dy 2.3593 -1.3514 4.7833
La 3.0314 7.3424 5.7039
Dy 0.9678 6.8078 1.5899
Dy 0.3269 5.2878 5.2014
Y 3.9707 8.0837 0.5731
Dy 2.3593 1.8742 8.8307
Dy 3.5364 3.8903 6.3151
Dy 3.5364 1.5507 3.3794
Dy 5.5688 4.9642 -0.2499
La 6.2409 3.9216 8.4301
La 3.0314 2.9168 0.1508
La 3.6842 5.0948 2.9550

---

- Look up the DFT total energy of the fourth one.
  -5.871 eV per atom

---

- Which formula does entry 1 have?
  La3Dy3Y5